A geometry-optimized HgRh2Cl structure, computed with GGA-PBE.

Summary:
The calculation puts the formation energy (no corrections) at 386 meV/atom. As for the distance to the lowest polymorph of the same formula: 256.5 meV/atom. Its space group is Immm. For the density of states at the Fermi level, the calculation gives 4.54 states/eV/cell.

The structure in CIF format:
```
data_HgRh2Cl
_chemical_formula_sum 'Hg1 Rh2 Cl1'
_cell_length_a 5.373
_cell_length_b 5.373
_cell_length_c 5.373
_cell_angle_alpha 148.49
_cell_angle_beta 120.85
_cell_angle_gamma 68.56
_symmetry_space_group_name_H-M 'P 1'
_symmetry_Int_Tables_number 1
loop_
_symmetry_equiv_pos_as_xyz
'x,y,z'
loop_
_atom_site_label
_atom_site_fract_x
_atom_site_fract_y
_atom_site_fract_z
Cl1 0.250 0.750 0.500
Rh1 0.483 0.483 0.000
Hg1 0.750 0.250 0.500
Rh2 0.017 0.017 0.000
```

=====

A geometry-optimized HgRh2Cl structure, computed with GGA-PBE.

Summary:
The calculation puts the formation energy (no corrections) at 616 meV/atom. As for the distance to the lowest polymorph of the same formula: 486.2 meV/atom. Its space group is Fm-3m. For the density of states at the Fermi level, the calculation gives 3.85 states/eV/cell.

The structure in CIF format:
```
data_HgRh2Cl
_chemical_formula_sum 'Hg1 Rh2 Cl1'
_cell_length_a 4.614
_cell_length_b 4.614
_cell_length_c 4.614
_cell_angle_alpha 60.00
_cell_angle_beta 60.00
_cell_angle_gamma 60.00
_symmetry_space_group_name_H-M 'P 1'
_symmetry_Int_Tables_number 1
loop_
_symmetry_equiv_pos_as_xyz
'x,y,z'
loop_
_atom_site_label
_atom_site_fract_x
_atom_site_fract_y
_atom_site_fract_z
Rh1 0.750 0.750 0.750
Rh2 0.250 0.250 0.250
Hg1 0.500 0.500 0.500
Cl1 0.000 0.000 0.000
```

=====

A geometry-optimized HgRh2Cl structure, computed with GGA-PBE.

Summary:
The calculation puts the formation energy (no corrections) at 375 meV/atom. As for the distance to the lowest polymorph of the same formula: 245.0 meV/atom. Its space group is Cmmm. For the density of states at the Fermi level, the calculation gives 5.22 states/eV/cell.

The structure in CIF format:
```
data_HgRh2Cl
_chemical_formula_sum 'Hg1 Rh2 Cl1'
_cell_length_a 3.035
_cell_length_b 3.035
_cell_length_c 8.703
_cell_angle_alpha 90.00
_cell_angle_beta 90.00
_cell_angle_gamma 121.78
_symmetry_space_group_name_H-M 'P 1'
_symmetry_Int_Tables_number 1
loop_
_symmetry_equiv_pos_as_xyz
'x,y,z'
loop_
_atom_site_label
_atom_site_fract_x
_atom_site_fract_y
_atom_site_fract_z
Rh1 0.000 0.000 0.020
Hg1 0.500 0.500 0.750
Rh2 0.000 0.000 0.480
Cl1 0.500 0.500 0.250
```

=====

A geometry-optimized HgRh2Cl structure, computed with GGA-PBE.

Summary:
The calculation puts the formation energy (no corrections) at 545 meV/atom. As for the distance to the lowest polymorph of the same formula: 414.9 meV/atom. Its space group is Cmmm. For the density of states at the Fermi level, the calculation gives 5.75 states/eV/cell.

The structure in CIF format:
```
data_HgRh2Cl
_chemical_formula_sum 'Hg1 Rh2 Cl1'
_cell_length_a 4.708
_cell_length_b 4.708
_cell_length_c 3.065
_cell_angle_alpha 90.00
_cell_angle_beta 90.00
_cell_angle_gamma 93.38
_symmetry_space_group_name_H-M 'P 1'
_symmetry_Int_Tables_number 1
loop_
_symmetry_equiv_pos_as_xyz
'x,y,z'
loop_
_atom_site_label
_atom_site_fract_x
_atom_site_fract_y
_atom_site_fract_z
Rh1 0.500 0.500 0.000
Cl1 0.500 0.000 0.500
Rh2 0.000 0.000 0.000
Hg1 0.000 0.500 0.500
```